Material: Ac4ThIn5
Method: DFT, PBE
State: optimized geometry

```
Ac4ThIn5
1.0
-1.2652 3.6898 -1.0534
0.5029 -0.9402 -3.8972
-19.2496 -6.8384 -0.8340
Ac Th In
4 1 5
Cartesian
-3.7183 -1.3209 -0.1611
-7.6402 -2.7142 -0.3310
-11.6094 -4.1242 -0.5030
-15.5313 -5.5175 -0.6729
0.0000 0.0000 0.0000
-2.1212 0.7566 -2.5507
-6.0577 -0.6418 -2.7212
-10.0059 -2.0444 -2.8923
-13.9542 -3.4471 -3.0634
-17.8906 -4.8455 -3.2339
```

Output
**Space-group type**: P4/mmm
**DFT total energy**: -41.21 eV/cell


Material: HfGeSbTe2
Method: DFT, PBE
State: optimized geometry

```
HfGeSbTe2
1.0
5.5008 0.0000 0.0000
0.0000 5.5008 0.0000
0.0000 0.0000 5.5925
Sb Ge Te Hf
1 1 2 1
Cartesian
0.0000 0.0000 2.7963
2.7504 2.7504 2.7963
0.0000 2.7504 0.0000
2.7504 0.0000 0.0000
0.0000 0.0000 0.0000
```

Output
**Formation energy from raw total energies**: 292 meV per atom
**Space-group type**: P4/mmm
**Offset from the most stable computed form**: 0 meV per atom


Material: K3Cu2PbBr9
Method: DFT, PBE
State: optimized geometry

```
K3Cu2PbBr9
1.0
-6.0831 -0.4707 -4.4930
2.6507 -6.2034 3.4503
-5.6689 1.7449 7.4923
K Cu Pb Br
3 2 1 9
Cartesian
-4.2903 -3.0521 6.1285
0.0000 0.0000 0.0000
-4.8110 -1.8771 0.3212
-1.1196 -4.0281 1.9378
-7.9817 -0.9011 4.5118
-2.8344 0.8725 3.7462
-8.4619 -0.2689 2.0458
-7.1966 -3.2301 3.6928
-5.5581 -0.0442 4.1906
-3.5432 -4.8850 2.2591
-1.9047 -1.6990 2.7568
-0.6394 -4.6603 4.4039
-3.0416 -0.2354 -2.2465
1.3253 -3.1017 1.7251
-1.7162 -3.3371 -0.5213
```

Output
**Formation energy from raw total energies**: -940 meV per atom
**Space-group type**: P-3m1


Material: CeCo2CuH8
Method: DFT, PBE
State: optimized geometry

```
CeCo2CuH8
1.0
4.4820 0.0000 0.0000
2.2410 3.8815 0.0000
2.2410 1.2938 5.3435
Ce Co Cu H
1 2 1 8
Cartesian
4.4820 2.5877 2.6718
2.2410 1.2938 0.5024
6.7230 3.8815 4.8411
0.0000 0.0000 0.0000
2.2410 1.2938 2.1220
3.8341 1.4960 0.7033
6.7230 3.8815 3.2215
5.7513 2.5724 0.7033
3.2126 2.6030 4.6403
3.8606 3.6946 0.7033
5.1034 1.4807 4.6403
5.1299 3.6793 4.6403
```

Output
**Space-group type**: R-3
**DFT total energy**: -53.02 eV/cell


Material: Li2La3Si4
Method: DFT, PBE
State: optimized geometry

```
Li2La3Si4
1.0
-3.2678 2.2811 1.6607
-1.0216 -1.3779 -5.7297
-2.8367 -6.9874 4.0158
Li La Si
2 3 4
Cartesian
-3.1077 -0.9469 0.7974
-4.0184 -5.1374 -0.8507
-4.3845 -3.6301 1.9706
0.0000 0.0000 0.0000
-2.7416 -2.4541 -2.0238
-2.9273 0.6974 -1.1061
-4.1988 -6.7817 1.0529
-5.6835 -3.2798 -1.0665
-1.4427 -2.8044 1.0132
```

Output
**Formation energy from raw total energies**: -626 meV per atom
**Space-group type**: C2/m


Material: PmGd3Cl
Method: DFT, PBE
State: optimized geometry

```
PmGd3Cl
1.0
5.3712 0.0000 0.0000
0.0000 5.3712 0.0000
0.0000 0.0000 5.3712
Cl Gd Pm
1 3 1
Cartesian
0.0000 0.0000 0.0000
0.0000 2.6856 0.0000
0.0000 0.0000 2.6856
2.6856 0.0000 0.0000
2.6856 2.6856 2.6856
```

Output
**Formation energy from raw total energies**: -462 meV per atom
**Space-group type**: Pm-3m


Material: AcHoAg
Method: DFT, PBE
State: optimized geometry

```
AcHoAg
1.0
3.7910 0.0000 0.0000
0.0000 3.7910 0.0000
-1.8955 -1.8955 6.4885
Ac Ho Ag
1 1 1
Cartesian
0.0000 0.0000 0.1438
0.0000 0.0000 3.9256
1.8955 1.8955 2.4191
```

Output
**Space-group type**: I4mm
**Offset from the most stable computed form**: 25 meV per atom


Material: Hf2VI
Method: DFT, PBE
State: optimized geometry

```
Hf2VI
1.0
0.0000 3.4544 3.4544
3.4544 0.0000 3.4544
3.4544 3.4544 0.0000
I Hf V
1 2 1
Cartesian
3.4544 3.4544 3.4544
1.7272 1.7272 1.7272
5.1816 5.1816 5.1816
0.0000 0.0000 0.0000
```

Output
**Formation energy from raw total energies**: 587 meV per atom
**Space-group type**: Fm-3m
**Offset from the most stable computed form**: 0 meV per atom


Material: CuHI
Method: DFT, PBE
State: optimized geometry

```
CuHI
1.0
4.1267 -0.3682 0.3899
-0.3739 4.1209 0.4501
0.7903 0.8695 9.1054
Cu H I
2 2 2
Cartesian
3.3452 3.1132 5.1809
1.1980 1.5090 4.7646
3.7132 1.4439 0.7829
0.8299 3.1782 9.1626
1.4222 3.7332 3.3616
3.1210 0.8890 6.5839
```

Output
**Space-group type**: P-1
**Offset from the most stable computed form**: 0 meV per atom


Material: ErSbH2
Method: DFT, PBE
State: optimized geometry

```
ErSbH2
1.0
3.5451 0.0054 0.0170
1.7688 3.0724 0.0170
1.7409 1.0083 5.9087
Er Sb H
1 1 2
Cartesian
5.2849 3.0610 5.6388
3.5274 2.0431 2.9847
1.7410 1.0084 5.8277
1.7697 1.0250 0.3715
```

Output
**Space-group type**: R3m
**Offset from the most stable computed form**: 0 meV per atom


Material: LaErSc2
Method: DFT, PBE
State: optimized geometry

```
LaErSc2
1.0
-1.6116 3.0467 -0.4636
-2.6820 0.2311 -2.2018
-8.3388 -1.3195 7.2728
La Er Sc
1 1 2
Cartesian
-2.8687 2.1830 -1.7696
-6.3134 0.9802 2.3003
-6.5688 -0.7014 5.1815
-3.1979 0.4757 1.1988
```

Output
**Space-group type**: R3m
**Offset from the most stable computed form**: 0 meV per atom


Material: Sc6NiPd5
Method: DFT, PBE
State: optimized geometry

```
Sc6NiPd5
1.0
4.6366 -0.2949 0.7526
-0.0178 5.9836 2.4536
1.0793 0.2092 8.0204
Sc Ni Pd
6 1 5
Cartesian
4.2200 3.3502 4.6985
4.2291 0.3206 3.4562
3.3841 4.5854 10.2516
2.3140 1.3126 0.9750
1.4690 5.5774 7.7704
1.4780 2.5477 6.5281
0.0000 0.0000 0.0000
3.8130 0.9468 6.2409
1.8932 1.9595 3.7584
-0.0089 2.9918 1.2268
3.8048 3.9384 7.4682
1.8851 4.9511 4.9857
```

Output
**Space-group type**: C2/m
**DFT total energy**: -79.67 eV/cell